# 1
{
  "formula": "Tb3GeB2Rh9",
  "functional": "GGA-PBE",
  "state": "optimized geometry",
  "dft_energy_ha_per_atom": -0.2657,
  "total_magnetization_mub_per_cell": 0.001,
  "delta_e_f_ev_per_atom": -0.69,
  "lattice_angstrom": [[-4.774, -1.333, -3.545], [3.165, -4.478, 2.659], [-4.561, 0.346, 6.012]],
  "species": ["Rh", "Rh", "Rh", "Rh", "Rh", "Rh", "Rh", "Rh", "Rh", "Tb", "Tb", "Tb", "B", "B", "Ge"],
  "fractional_positions": [[0.177, 0.823, 0.313], [0.645, 0.823, 0.313], [0.500, 0.500, 0.000], [0.500, 0.000, 0.000], [0.823, 0.177, 0.687], [0.000, 0.500, 0.000], [0.823, 0.645, 0.687], [0.355, 0.177, 0.687], [0.177, 0.355, 0.313], [0.000, 0.000, 0.000], [0.667, 0.333, 0.335], [0.333, 0.667, 0.665], [0.667, 0.333, 0.854], [0.333, 0.667, 0.146], [0.000, 0.000, 0.500]]
}

# 2
{
  "formula": "Ge2BTeRh",
  "functional": "GGA-PBE",
  "state": "optimized geometry",
  "dft_energy_ha_per_atom": -0.1310,
  "total_magnetization_mub_per_cell": 0.000,
  "e_form_raw_ev_per_atom": 1.716,
  "lattice_angstrom": [[5.335, 0.000, 0.000], [0.000, 4.180, 0.000], [0.000, 0.000, 5.335]],
  "species": ["Ge", "Ge", "B", "Te", "Rh"],
  "fractional_positions": [[0.000, 0.000, 0.500], [0.500, 0.000, 0.000], [0.000, 0.500, 0.000], [0.000, 0.000, 0.000], [0.500, 0.500, 0.500]]
}

# 3
{
  "formula": "Th2GeBRh6",
  "functional": "GGA-PBE",
  "state": "optimized geometry",
  "dft_energy_ha_per_atom": -0.2869,
  "total_magnetization_mub_per_cell": 0.000,
  "delta_e_f_ev_per_atom": -0.78,
  "lattice_angstrom": [[5.765, 0.000, 0.000], [0.000, 7.066, 0.000], [0.000, 0.000, 8.572]],
  "species": ["B", "B", "Rh", "Rh", "Rh", "Rh", "Rh", "Rh", "Rh", "Rh", "Rh", "Rh", "Rh", "Rh", "Th", "Th", "Th", "Th", "Ge", "Ge"],
  "fractional_positions": [[0.500, 0.191, 0.500], [0.000, 0.809, 0.000], [0.000, 0.844, 0.242], [0.756, 0.590, 0.000], [0.739, 0.010, 0.000], [0.261, 0.010, 0.000], [0.500, 0.156, 0.742], [0.239, 0.990, 0.500], [0.744, 0.410, 0.500], [0.761, 0.990, 0.500], [0.244, 0.590, 0.000], [0.000, 0.844, 0.758], [0.500, 0.156, 0.258], [0.256, 0.410, 0.500], [0.500, 0.729, 0.272], [0.500, 0.729, 0.728], [0.000, 0.271, 0.228], [0.000, 0.271, 0.772], [0.000, 0.684, 0.500], [0.500, 0.316, 0.000]]
}

# 4
{
  "formula": "ThGeBRh3",
  "functional": "GGA-PBE",
  "state": "optimized geometry",
  "dft_energy_ha_per_atom": -0.2770,
  "total_magnetization_mub_per_cell": 0.000,
  "delta_e_f_ev_per_atom": -0.74,
  "lattice_angstrom": [[5.838, 0.000, 0.000], [0.000, 5.731, 0.000], [0.000, -2.866, 6.033]],
  "species": ["B", "B", "Th", "Th", "Ge", "Ge", "Rh", "Rh", "Rh", "Rh", "Rh", "Rh"],
  "fractional_positions": [[0.250, 0.003, 0.006], [0.750, 0.997, 0.994], [0.750, 0.267, 0.534], [0.250, 0.733, 0.466], [0.250, 0.378, 0.756], [0.750, 0.622, 0.244], [0.500, 0.749, 0.000], [0.750, 0.821, 0.641], [0.000, 0.251, 0.000], [0.000, 0.749, 0.000], [0.250, 0.179, 0.359], [0.500, 0.251, 0.000]]
}

# 5
{
  "formula": "Th4GeB3Rh12",
  "functional": "GGA-PBE",
  "state": "optimized geometry",
  "dft_energy_ha_per_atom": -0.2909,
  "total_magnetization_mub_per_cell": 0.000,
  "delta_e_f_ev_per_atom": -0.79,
  "lattice_angstrom": [[-1.577, -7.099, 2.036], [7.209, 1.546, 1.636], [-4.509, 4.756, 3.753]],
  "species": ["B", "B", "B", "Rh", "Rh", "Rh", "Rh", "Rh", "Rh", "Rh", "Rh", "Rh", "Rh", "Rh", "Rh", "Th", "Th", "Th", "Th", "Ge"],
  "fractional_positions": [[0.500, 0.500, 0.000], [0.000, 0.500, 0.500], [0.500, 0.000, 0.500], [0.729, 0.000, 0.729], [0.750, 0.250, 0.500], [0.250, 0.500, 0.750], [0.750, 0.500, 0.250], [0.729, 0.729, 0.000], [0.271, 0.271, 0.000], [0.500, 0.750, 0.250], [0.250, 0.750, 0.500], [0.000, 0.729, 0.729], [0.500, 0.250, 0.750], [0.271, 0.000, 0.271], [0.000, 0.271, 0.271], [0.000, 0.500, 0.000], [0.500, 0.000, 0.000], [0.500, 0.500, 0.500], [0.000, 0.000, 0.500], [0.000, 0.000, 0.000]]
}

# 6
{
  "formula": "Tm4GeB3Rh12",
  "functional": "GGA-PBE",
  "state": "optimized geometry",
  "dft_energy_ha_per_atom": -0.2666,
  "total_magnetization_mub_per_cell": 0.001,
  "delta_e_f_ev_per_atom": -0.72,
  "lattice_angstrom": [[7.406, 0.000, 0.000], [-2.469, 6.982, 0.000], [-2.469, -3.491, 6.047]],
  "species": ["Rh", "Rh", "Rh", "Rh", "Rh", "Rh", "Rh", "Rh", "Rh", "Rh", "Rh", "Rh", "B", "B", "B", "Tm", "Tm", "Tm", "Tm", "Ge"],
  "fractional_positions": [[0.732, 0.000, 0.732], [0.750, 0.500, 0.250], [0.250, 0.750, 0.500], [0.268, 0.000, 0.268], [0.732, 0.732, 0.000], [0.250, 0.500, 0.750], [0.000, 0.732, 0.732], [0.500, 0.750, 0.250], [0.500, 0.250, 0.750], [0.268, 0.268, 0.000], [0.000, 0.268, 0.268], [0.750, 0.250, 0.500], [0.500, 0.000, 0.500], [0.000, 0.500, 0.500], [0.500, 0.500, 0.000], [0.500, 0.500, 0.500], [0.000, 0.000, 0.500], [0.000, 0.500, 0.000], [0.500, 0.000, 0.000], [0.000, 0.000, 0.000]]
}

# 7
{
  "formula": "Tm3GeB2Rh9",
  "functional": "GGA-PBE",
  "state": "optimized geometry",
  "dft_energy_ha_per_atom": -0.2650,
  "total_magnetization_mub_per_cell": 0.000,
  "delta_e_f_ev_per_atom": -0.71,
  "lattice_angstrom": [[6.056, 0.000, 0.000], [-3.028, 5.245, 0.000], [0.000, 0.000, 7.520]],
  "species": ["Rh", "Rh", "Rh", "Rh", "Rh", "Rh", "Rh", "Rh", "Rh", "Tm", "Tm", "Tm", "B", "B", "Ge"],
  "fractional_positions": [[0.000, 0.500, 0.000], [0.354, 0.177, 0.687], [0.177, 0.823, 0.313], [0.823, 0.646, 0.687], [0.177, 0.354, 0.313], [0.646, 0.823, 0.313], [0.500, 0.000, 0.000], [0.500, 0.500, 0.000], [0.823, 0.177, 0.687], [0.000, 0.000, 0.000], [0.333, 0.667, 0.665], [0.667, 0.333, 0.335], [0.667, 0.333, 0.853], [0.333, 0.667, 0.147], [0.000, 0.000, 0.500]]
}

# 8
{
  "formula": "Y2GeBRh6",
  "functional": "GGA-PBE",
  "state": "optimized geometry",
  "dft_energy_ha_per_atom": -0.2741,
  "total_magnetization_mub_per_cell": 0.000,
  "delta_e_f_ev_per_atom": -0.63,
  "lattice_angstrom": [[-1.105, 3.147, -5.229], [1.129, -5.118, -3.317], [-4.230, -2.076, -4.030]],
  "species": ["Rh", "Rh", "Rh", "Rh", "Rh", "Rh", "Ge", "Y", "Y", "B"],
  "fractional_positions": [[0.734, 0.266, 0.000], [0.266, 0.734, 0.000], [0.266, 0.266, 0.000], [0.266, 0.266, 0.468], [0.734, 0.734, 0.532], [0.734, 0.734, 0.000], [0.000, 0.000, 0.000], [0.250, 0.750, 0.500], [0.750, 0.250, 0.500], [0.500, 0.500, 0.000]]
}

Repeat the fourth record exactly.
{
  "formula": "ThGeBRh3",
  "functional": "GGA-PBE",
  "state": "optimized geometry",
  "dft_energy_ha_per_atom": -0.2770,
  "total_magnetization_mub_per_cell": 0.000,
  "delta_e_f_ev_per_atom": -0.74,
  "lattice_angstrom": [[5.838, 0.000, 0.000], [0.000, 5.731, 0.000], [0.000, -2.866, 6.033]],
  "species": ["B", "B", "Th", "Th", "Ge", "Ge", "Rh", "Rh", "Rh", "Rh", "Rh", "Rh"],
  "fractional_positions": [[0.250, 0.003, 0.006], [0.750, 0.997, 0.994], [0.750, 0.267, 0.534], [0.250, 0.733, 0.466], [0.250, 0.378, 0.756], [0.750, 0.622, 0.244], [0.500, 0.749, 0.000], [0.750, 0.821, 0.641], [0.000, 0.251, 0.000], [0.000, 0.749, 0.000], [0.250, 0.179, 0.359], [0.500, 0.251, 0.000]]
}